TmNi4Ge | the Alexandria database | GGA-PBE | relaxed; ΔE_f = -0.52 eV/atom; raw total energy = -5.889 eV/atom; M_tot = 0.00 Bohr magnetons per cell; SG = Cmmm
1.0
-1.839 2.234 3.896
-1.260 -4.622 -0.773
3.134 -1.217 2.178
Ge Ni Tm
1 4 1
direct
0.000 0.500 0.500
0.165 0.335 0.000
0.500 0.500 0.500
0.000 0.000 0.500
0.835 0.665 0.000
0.500 0.000 0.000